Compound: TaI2BrO
Source: the Alexandria database
Functional: PBE
Structure: optimized geometry

```
TaI2BrO
1.0
5.671 0.000 0.000
0.000 5.671 0.000
0.000 0.000 3.912
Ta I Br O
1 2 1 1
Cartesian
0.000 0.000 0.000
0.000 2.835 0.000
2.835 0.000 0.000
2.835 2.835 1.956
0.000 0.000 1.956
```

Output
The calculation puts the energy above the most stable polymorph in this dataset at 0 meV per atom. The uncorrected formation energy is -0.6470 eV per atom. The density comes out at 7.005 g/cm³.